{
  "formula": "LaNd5Y3",
  "functional": "PBE-GGA",
  "state": "optimized geometry",
  "relative_energy_mev_per_atom": 0,
  "formation_energy_ev_per_atom": 0.270,
  "vol_a3_per_atom": 35.9,
  "n_ef_per_ev_fu": 13.875,
  "total_magnetization_mub_per_atom": 0.000,
  "cell": [[9.407, -3.259, 0.000], [9.407, 3.259, 0.000], [-4.497, 0.000, 10.526]],
  "species": ["La", "La", "Nd", "Nd", "Nd", "Nd", "Nd", "Nd", "Nd", "Nd", "Nd", "Nd", "Y", "Y", "Y", "Y", "Y", "Y"],
  "fractional_positions": [[0.138, 0.862, 0.750], [0.862, 0.138, 0.250], [0.010, 0.652, 0.134], [0.125, 0.536, 0.791], [0.348, 0.990, 0.366], [0.400, 0.600, 0.250], [0.464, 0.875, 0.709], [0.536, 0.125, 0.291], [0.600, 0.400, 0.750], [0.652, 0.010, 0.634], [0.875, 0.464, 0.209], [0.990, 0.348, 0.866], [0.000, 0.000, 0.000], [0.000, 0.000, 0.500], [0.139, 0.538, 0.485], [0.462, 0.861, 0.015], [0.538, 0.139, 0.985], [0.861, 0.462, 0.515]]
}


{
  "formula": "LaNd4Y6",
  "functional": "PBE-GGA",
  "state": "optimized geometry",
  "formation_energy_ev_per_atom": 0.104,
  "vol_a3_per_atom": 34.1,
  "n_ef_per_ev_fu": 20.356,
  "total_magnetization_mub_per_atom": 0.000,
  "cell": [[2.922, -4.890, 0.000], [2.922, 4.890, 0.000], [0.000, 0.000, 26.227]],
  "species": ["La", "La", "Nd", "Nd", "Nd", "Nd", "Nd", "Nd", "Nd", "Nd", "Y", "Y", "Y", "Y", "Y", "Y", "Y", "Y", "Y", "Y", "Y", "Y"],
  "fractional_positions": [[0.185, 0.815, 0.750], [0.815, 0.185, 0.250], [0.158, 0.842, 0.044], [0.158, 0.842, 0.456], [0.471, 0.529, 0.123], [0.471, 0.529, 0.377], [0.529, 0.471, 0.623], [0.529, 0.471, 0.877], [0.842, 0.158, 0.544], [0.842, 0.158, 0.956], [0.144, 0.856, 0.181], [0.144, 0.856, 0.319], [0.187, 0.813, 0.601], [0.187, 0.813, 0.899], [0.479, 0.521, 0.250], [0.500, 0.500, 0.000], [0.500, 0.500, 0.500], [0.521, 0.479, 0.750], [0.813, 0.187, 0.101], [0.813, 0.187, 0.399], [0.856, 0.144, 0.681], [0.856, 0.144, 0.819]]
}


{
  "formula": "La3Nd2Y8",
  "functional": "PBE-GGA",
  "state": "optimized geometry",
  "relative_energy_mev_per_atom": 230,
  "formation_energy_ev_per_atom": 0.252,
  "vol_a3_per_atom": 35.2,
  "n_ef_per_ev_fu": 26.451,
  "total_magnetization_mub_per_atom": 0.000,
  "cell": [[3.882, -10.270, 0.000], [3.882, 10.270, 0.000], [0.000, 0.000, 5.740]],
  "species": ["La", "La", "La", "Nd", "Nd", "Y", "Y", "Y", "Y", "Y", "Y", "Y", "Y"],
  "fractional_positions": [[0.000, 0.000, 0.000], [0.299, 0.299, 0.500], [0.701, 0.701, 0.500], [0.242, 0.758, 0.000], [0.758, 0.242, 0.000], [0.135, 0.865, 0.500], [0.183, 0.399, 0.000], [0.330, 0.670, 0.500], [0.399, 0.183, 0.000], [0.601, 0.817, 0.000], [0.670, 0.330, 0.500], [0.817, 0.601, 0.000], [0.865, 0.135, 0.500]]
}


{
  "formula": "La4Nd5Y",
  "functional": "PBE-GGA",
  "state": "optimized geometry",
  "formation_energy_ev_per_atom": 0.150,
  "vol_a3_per_atom": 36.5,
  "n_ef_per_ev_fu": 17.079,
  "total_magnetization_mub_per_atom": 0.000,
  "cell": [[6.003, -2.842, 0.000], [6.003, 2.842, 0.000], [-0.022, 0.000, 10.706]],
  "species": ["La", "La", "La", "La", "Nd", "Nd", "Nd", "Nd", "Nd", "Y"],
  "fractional_positions": [[0.045, 0.045, 0.248], [0.318, 0.318, 0.250], [0.682, 0.682, 0.750], [0.955, 0.955, 0.752], [0.196, 0.196, 0.563], [0.196, 0.196, 0.936], [0.500, 0.500, 0.500], [0.804, 0.804, 0.064], [0.804, 0.804, 0.437], [0.500, 0.500, 0.000]]
}